(1)
First-principles (PBE) data for crystalline CuTcNi2 at its relaxed geometry, as listed in Alexandria via LeMat-Bulk.

Cell: 4.033 2.516 4.931 Å, 75.19 90.00 90.00°
Fractional positions:
1 Cu 0.500 0.796 0.782
2 Tc 0.000 0.453 0.469
3 Ni 0.500 0.056 0.266
4 Ni 0.000 0.195 0.982

Computed properties:
E_form ... 0.084 eV/atom
VASP energy ... -6.422 eV/atom
V ... 48.4 Å³/cell
Spin magnetization ... 0.000 μB per cell

---

(2)
First-principles (PBE) data for crystalline CuTcNi at its relaxed geometry, as listed in Alexandria via LeMat-Bulk.

Cell: 5.823 5.823 2.613 Å, 77.03 77.03 25.93°
Fractional positions:
1 Cu 0.994 0.993 0.006
2 Ni 0.333 0.333 0.667
3 Tc 0.674 0.674 0.326

Computed properties:
E_form ... 0.121 eV/atom
VASP energy ... -6.627 eV/atom
V ... 37.7 Å³/cell
Spin magnetization ... 0.044 μB per cell

---

(3)
First-principles (PBE) data for crystalline CuTcNi2 at its relaxed geometry, as listed in Alexandria via LeMat-Bulk.

Cell: 4.090 4.090 4.090 Å, 60.00 60.00 60.00°
Fractional positions:
1 Cu 0.500 0.500 0.500
2 Ni 0.000 0.000 0.000
3 Ni 0.250 0.250 0.250
4 Tc 0.750 0.750 0.750

Computed properties:
E_form ... 0.220 eV/atom
VASP energy ... -6.286 eV/atom
V ... 48.4 Å³/cell
Spin magnetization ... 0.000 μB per cell

---

(4)
First-principles (PBE) data for crystalline CuTcNi2 at its relaxed geometry, as listed in Alexandria via LeMat-Bulk.

Cell: 4.992 4.992 4.992 Å, 149.35 129.02 60.67°
Fractional positions:
1 Ni 0.008 0.008 0.000
2 Ni 0.244 0.744 0.500
3 Cu 0.761 0.261 0.500
4 Tc 0.488 0.488 0.000

Computed properties:
E_form ... 0.193 eV/atom
VASP energy ... -6.313 eV/atom
V ... 48.9 Å³/cell
Spin magnetization ... 0.612 μB per cell

---

(5)
First-principles (PBE) data for crystalline CuTcNi at its relaxed geometry, as listed in Alexandria via LeMat-Bulk.

Cell: 3.945 2.556 7.647 Å, 80.38 90.00 90.00°
Fractional positions:
1 Cu 0.750 0.458 0.084
2 Cu 0.250 0.542 0.916
3 Tc 0.750 0.291 0.417
4 Tc 0.250 0.709 0.583
5 Ni 0.750 0.117 0.765
6 Ni 0.250 0.883 0.235

Computed properties:
E_form ... 0.122 eV/atom
VASP energy ... -6.626 eV/atom
V ... 76.0 Å³/cell
Spin magnetization ... 0.000 μB per cell

---

(6)
First-principles (PBE) data for crystalline CuTcNi2 at its relaxed geometry, as listed in Alexandria via LeMat-Bulk.

Cell: 4.466 4.466 4.466 Å, 132.05 132.05 70.15°
Fractional positions:
1 Cu 0.750 0.250 0.500
2 Ni 0.000 0.000 0.000
3 Ni 0.250 0.750 0.500
4 Tc 0.500 0.500 0.000

Computed properties:
E_form ... 0.178 eV/atom
VASP energy ... -6.328 eV/atom
V ... 48.1 Å³/cell
Spin magnetization ... 0.006 μB per cell

---

(7)
First-principles (PBE) data for crystalline CuTcNi6 at its relaxed geometry, as listed in Alexandria via LeMat-Bulk.

Cell: 3.587 3.587 7.082 Å, 90.00 90.00 90.00°
Fractional positions:
1 Ni 0.000 0.500 0.750
2 Ni 0.500 0.000 0.250
3 Ni 0.500 0.000 0.750
4 Ni 0.500 0.500 0.500
5 Ni 0.500 0.500 0.000
6 Ni 0.000 0.500 0.250
7 Cu 0.000 0.000 0.000
8 Tc 0.000 0.000 0.500

Computed properties:
E_form ... 0.014 eV/atom
VASP energy ... -6.129 eV/atom
V ... 91.1 Å³/cell
Spin magnetization ... 0.007 μB per cell

---

(8)
First-principles (PBE) data for crystalline CuTcNi2 at its relaxed geometry, as listed in Alexandria via LeMat-Bulk.

Cell: 2.536 3.729 5.110 Å, 90.00 90.00 90.00°
Fractional positions:
1 Ni 0.500 0.500 0.253
2 Ni 0.000 0.000 0.996
3 Cu 0.500 0.500 0.764
4 Tc 0.000 0.000 0.486

Computed properties:
E_form ... 0.108 eV/atom
VASP energy ... -6.398 eV/atom
V ... 48.3 Å³/cell
Spin magnetization ... 0.000 μB per cell

---

(9)
First-principles (PBE) data for crystalline CuTcNi2 at its relaxed geometry, as listed in Alexandria via LeMat-Bulk.

Cell: 2.569 2.569 7.312 Å, 90.00 90.00 90.00°
Fractional positions:
1 Ni 0.000 0.000 0.006
2 Ni 0.500 0.500 0.240
3 Tc 0.000 0.000 0.489
4 Cu 0.500 0.500 0.765

Computed properties:
E_form ... 0.077 eV/atom
VASP energy ... -6.429 eV/atom
V ... 48.3 Å³/cell
Spin magnetization ... 0.268 μB per cell

---

(10)
First-principles (PBE) data for crystalline CuTcNi2 at its relaxed geometry, as listed in Alexandria via LeMat-Bulk.

Cell: 3.638 2.581 5.760 Å, 63.30 90.00 90.00°
Fractional positions:
1 Tc 0.500 0.250 0.250
2 Cu 0.500 0.750 0.750
3 Ni 0.000 0.502 0.497
4 Ni 0.000 0.998 0.003

Computed properties:
E_form ... 0.066 eV/atom
VASP energy ... -6.440 eV/atom
V ... 48.3 Å³/cell
Spin magnetization ... 0.000 μB per cell

---

(11)
First-principles (PBE) data for crystalline CuTcNi at its relaxed geometry, as listed in Alexandria via LeMat-Bulk.

Cell: 4.142 4.142 2.501 Å, 90.00 90.00 120.00°
Fractional positions:
1 Tc 0.333 0.667 0.666
2 Cu 0.000 0.000 0.167
3 Ni 0.667 0.333 0.167

Computed properties:
E_form ... 0.138 eV/atom
VASP energy ... -6.609 eV/atom
V ... 37.2 Å³/cell
Spin magnetization ... 0.000 μB per cell

---

(12)
First-principles (PBE) data for crystalline CuTcNi2 at its relaxed geometry, as listed in Alexandria via LeMat-Bulk.

Cell: 2.628 2.628 8.340 Å, 80.93 80.93 60.00°
Fractional positions:
1 Ni 0.251 0.251 0.248
2 Ni 0.083 0.083 0.752
3 Tc 0.500 0.500 0.500
4 Cu 0.667 0.667 0.000

Computed properties:
E_form ... 0.060 eV/atom
VASP energy ... -6.447 eV/atom
V ... 49.1 Å³/cell
Spin magnetization ... 0.000 μB per cell